(1)
Sm2GaSe: optimized geometry, GGA-PBE.

Formation energy from raw total energies (meV/atom): -1005
E above lowest polymorph (eV/atom): 0.247
Symmetry: P4/mmm, No. 123

a b c (Å): 3.536 3.536 7.798
angles (deg): 90.00 90.00 90.00
Positions (direct):
Ga 0.500 0.500 0.000
Se 0.500 0.500 0.500
Sm 0.000 0.000 0.744
Sm 0.000 0.000 0.256


(2)
Sm2GaSe: optimized geometry, GGA-PBE.

Formation energy from raw total energies (meV/atom): -1188
E above lowest polymorph (eV/atom): 0.065
Symmetry: R-3m, No. 166

a b c (Å): 4.067 4.067 7.792
angles (deg): 74.87 74.87 60.00
Positions (direct):
Ga 0.000 0.000 0.000
Se 0.500 0.500 0.500
Sm 0.248 0.248 0.256
Sm 0.752 0.752 0.744


(3)
Sm2GaSe4: optimized geometry, GGA-PBE.

Formation energy from raw total energies (meV/atom): -1157
Symmetry: I-42m, No. 121

a b c (Å): 6.626 6.626 7.402
angles (deg): 116.59 116.59 90.00
Positions (direct):
Sm 0.750 0.250 0.500
Sm 0.250 0.750 0.500
Ga 0.500 0.500 0.000
Se 0.850 0.379 0.229
Se 0.379 0.850 0.229
Se 0.621 0.621 0.771
Se 0.150 0.150 0.771


(4)
SmGaSe3: optimized geometry, GGA-PBE.

Formation energy from raw total energies (meV/atom): -1138
Symmetry: P2_1/c, No. 14

a b c (Å): 7.143 7.388 9.987
angles (deg): 90.00 96.26 90.00
Positions (direct):
Sm 0.935 0.629 0.276
Sm 0.565 0.129 0.224
Sm 0.065 0.371 0.724
Sm 0.435 0.871 0.776
Ga 0.357 0.664 0.119
Ga 0.143 0.164 0.381
Ga 0.643 0.336 0.881
Ga 0.857 0.836 0.619
Se 0.146 0.701 0.566
Se 0.354 0.201 0.934
Se 0.854 0.299 0.434
Se 0.646 0.799 0.066
Se 0.840 0.049 0.802
Se 0.660 0.549 0.698
Se 0.160 0.951 0.198
Se 0.340 0.451 0.302
Se 0.656 0.824 0.412
Se 0.844 0.324 0.088
Se 0.344 0.176 0.588
Se 0.156 0.676 0.912


(5)
SmGaSe: optimized geometry, GGA-PBE.

Formation energy from raw total energies (meV/atom): -1006
Symmetry: C2/m, No. 12

a b c (Å): 4.225 4.230 12.405
angles (deg): 90.38 80.20 60.04
Positions (direct):
Sm 0.825 0.084 0.267
Sm 0.175 0.916 0.733
Ga 0.636 0.184 0.545
Ga 0.364 0.816 0.455
Se 0.233 0.378 0.157
Se 0.767 0.622 0.843


(6)
Sm2GaSe: optimized geometry, GGA-PBE.

Formation energy from raw total energies (meV/atom): -1168
E above lowest polymorph (eV/atom): 0.085
Symmetry: Pmmn, No. 59

a b c (Å): 4.043 5.952 8.837
angles (deg): 90.00 90.00 90.00
Positions (direct):
Sm 0.000 0.000 0.875
Sm 0.000 0.000 0.363
Sm 0.500 0.500 0.637
Sm 0.500 0.500 0.125
Ga 0.500 0.000 0.622
Ga 0.000 0.500 0.378
Se 0.000 0.500 0.881
Se 0.500 0.000 0.119


(7)
Sm4GaTeSe2: optimized geometry, GGA-PBE.

Formation energy from raw total energies (meV/atom): -1418
Symmetry: P2/m, No. 10

a b c (Å): 4.206 7.404 7.507
angles (deg): 71.24 90.00 90.00
Positions (direct):
Sm 0.000 0.758 0.730
Sm 0.000 0.242 0.270
Sm 0.500 0.751 0.259
Sm 0.500 0.249 0.741
Ga 0.000 0.500 0.500
Te 0.500 0.500 0.000
Se 0.000 0.000 0.000
Se 0.500 0.000 0.500


(8)
GaSn2Se: optimized geometry, GGA-PBE.

Formation energy from raw total energies (meV/atom): 93
E above lowest polymorph (eV/atom): 0.105
Symmetry: R-3m, No. 166

a b c (Å): 3.581 3.581 10.131
angles (deg): 79.82 79.82 60.00
Positions (direct):
Ga 0.000 0.000 0.000
Sn 0.098 0.098 0.706
Sn 0.902 0.902 0.294
Se 0.500 0.500 0.500